A geometry-optimized Nd5SmDy5 structure, computed with GGA-PBE.

Summary:
The value obtained for the total magnetization is 0.000 μB per atom. The space group is No. 187. The energy of formation from the pure elements comes out at 287 meV per atom. The value obtained for the energy above the most stable polymorph in this dataset is 0.034 eV per atom.

a = 6.1516 Å, b = 6.1516 Å, c = 11.7703 Å
α = 90.00°, β = 90.00°, γ = 120.00°
Closest atoms and distances in Å follow each position.
Sites, in units of the cell vectors:
Nd (0.0000, 0.0000, 0.0000)  2 Dy 3.13
Nd (0.3333, 0.6667, 0.3192)  9 Dy 3.61-3.74, 1 Sm 3.76
Nd (0.3333, 0.6667, 0.6808)  9 Dy 3.61-3.74, 1 Sm 3.76
Nd (0.6667, 0.3333, 0.1551)  7 Nd 3.65-4.04, 3 Dy 3.78, 3 Sm 3.99
Nd (0.6667, 0.3333, 0.8449)  7 Nd 3.65-4.04, 3 Dy 3.78, 3 Sm 3.99
Sm (0.3333, 0.6667, 0.0000)  5 Nd 3.55-3.76
Dy (0.0000, 0.0000, 0.2658)  1 Nd 3.13, 3 Dy 3.28
Dy (0.0000, 0.0000, 0.7342)  1 Nd 3.13, 3 Dy 3.28
Dy (0.3336, 0.1668, 0.5000)  6 Dy 3.07-3.28
Dy (0.8332, 0.1668, 0.5000)  6 Dy 3.07-3.28
Dy (0.8332, 0.6664, 0.5000)  6 Dy 3.07-3.28

A geometry-optimized ScZnFe2 structure, computed with GGA-PBE.

Summary:
The value obtained for the total magnetization is 1.047 μB per atom. The space group is No. 71. The energy of formation from the pure elements comes out at 4 meV per atom.

a = 4.7971 Å, b = 4.7971 Å, c = 4.7971 Å
α = 133.29°, β = 132.91°, γ = 68.50°
Closest atoms and distances in Å follow each position.
Sites, in units of the cell vectors:
Sc (0.0000, 0.0000, 0.0000)  4 Zn 2.70, 8 Fe 2.75-2.76
Zn (0.5000, 0.5000, 0.0000)  4 Sc 2.70, 8 Fe 2.75-2.76
Fe (0.2503, 0.7503, 0.5000)  4 Fe 2.70, 4 Zn 2.75-2.76, 4 Sc 2.75-2.76
Fe (0.7497, 0.2497, 0.5000)  4 Fe 2.70, 4 Zn 2.75-2.76, 4 Sc 2.75-2.76

A geometry-optimized ScCo2Rh structure, computed with GGA-PBE.

Summary:
The value obtained for the total magnetization is 0.877 μB per atom. The space group is No. 160. The energy of formation from the pure elements comes out at 109 meV per atom.

a = 8.2500 Å, b = 8.2500 Å, c = 8.2500 Å
α = 20.07°, β = 20.07°, γ = 20.07°
Closest atoms and distances in Å follow each position.
Sites, in units of the cell vectors:
Sc (0.0000, 0.0000, 0.0000)  3 Rh 2.71, 3 Co 2.71, 6 Sc 2.88
Co (0.2450, 0.2450, 0.2450)  3 Co 2.41
Co (0.5064, 0.5064, 0.5064)  3 Co 2.41, 3 Rh 2.64
Rh (0.7550, 0.7550, 0.7550)  3 Co 2.64, 3 Sc 2.71, 6 Rh 2.88

A geometry-optimized Pm6AgAu structure, computed with GGA-PBE.

Summary:
The value obtained for the total magnetization is 0.000 μB per atom. The space group is No. 139. The energy of formation from the pure elements comes out at -235 meV per atom.

a = 9.5376 Å, b = 9.5376 Å, c = 9.5376 Å
α = 148.17°, β = 148.17°, γ = 45.64°
Closest atoms and distances in Å follow each position.
Sites, in units of the cell vectors:
Pm (0.1053, 0.6053, 0.5000)  2 Ag 3.20, 2 Au 3.20
Pm (0.2491, 0.2491, 0.0000)  12 Pm 3.64-3.70
Pm (0.3947, 0.8947, 0.5000)  2 Au 3.20, 2 Ag 3.20
Pm (0.6053, 0.1053, 0.5000)  2 Ag 3.20, 2 Au 3.20
Pm (0.7509, 0.7509, 0.0000)  12 Pm 3.64-3.70
Pm (0.8947, 0.3947, 0.5000)  2 Au 3.20, 2 Ag 3.20
Ag (0.0000, 0.0000, 0.0000)  8 Pm 3.20
Au (0.5000, 0.5000, 0.0000)  8 Pm 3.20

A geometry-optimized LaSiOs2 structure, computed with GGA-PBE.

Summary:
The value obtained for the total magnetization is 0.080 μB per atom. The space group is No. 166. The energy relative to the elements, uncorrected comes out at 0.340 eV per atom.

a = 9.0320 Å, b = 9.0320 Å, c = 9.0320 Å
α = 19.08°, β = 19.08°, γ = 19.08°
Closest atoms and distances in Å follow each position.
Sites, in units of the cell vectors:
La (0.0000, 0.0000, 0.0000)  6 La 2.99, 6 Os 3.18
Si (0.5000, 0.5000, 0.5000)  6 Os 2.47
Os (0.2328, 0.2328, 0.2328)  3 Si 2.47
Os (0.7672, 0.7672, 0.7672)  3 Si 2.47

A geometry-optimized ZrTi6H8 structure, computed with GGA-PBE.

Summary:
The value obtained for the total magnetization is 0.000 μB per atom. The final energy is -87.53 eV/cell. The space group is No. 148.

a = 5.2738 Å, b = 5.2738 Å, c = 5.2738 Å
α = 99.88°, β = 99.88°, γ = 99.88°
Closest atoms and distances in Å follow each position.
Sites, in units of the cell vectors:
Zr (0.0000, 0.0000, 0.0000)  8 H 2.04-2.22
Ti (0.1354, 0.5825, 0.3053)  3 H 1.88-1.98
Ti (0.3053, 0.1354, 0.5825)  3 H 1.88-1.98
Ti (0.4175, 0.6947, 0.8646)  3 H 1.88-1.98
Ti (0.5825, 0.3053, 0.1354)  3 H 1.88-1.98
Ti (0.6947, 0.8646, 0.4175)  3 H 1.88-1.98
Ti (0.8646, 0.4175, 0.6947)  3 H 1.88-1.98
H (0.1074, 0.7786, 0.6514)  4 Ti 1.98-2.18, 1 H 2.10, 1 Zr 2.22
H (0.2214, 0.3486, 0.8926)  4 Ti 1.98-2.18, 1 H 2.10, 1 Zr 2.22
H (0.2761, 0.2761, 0.2761)  3 Ti 1.88, 1 Zr 2.04, 3 H 2.10
H (0.3486, 0.8926, 0.2214)  4 Ti 1.98-2.18, 1 H 2.10, 1 Zr 2.22
H (0.6514, 0.1074, 0.7786)  4 Ti 1.98-2.18, 1 H 2.10, 1 Zr 2.22
H (0.7239, 0.7239, 0.7239)  3 Ti 1.88, 1 Zr 2.04, 3 H 2.10
H (0.7786, 0.6514, 0.1074)  4 Ti 1.98-2.18, 1 H 2.10, 1 Zr 2.22
H (0.8926, 0.2214, 0.3486)  4 Ti 1.98-2.18, 1 H 2.10, 1 Zr 2.22

A geometry-optimized IrW structure, computed with GGA-PBE.

Summary:
The value obtained for the total magnetization is 0.000 μB per atom. The space group is No. 129. The energy of formation from the pure elements comes out at 43 meV per atom. The value obtained for the energy above the most stable polymorph in this dataset is 0.344 eV per atom.

a = 3.3098 Å, b = 3.3098 Å, c = 5.7199 Å
α = 90.00°, β = 90.00°, γ = 90.00°
Closest atoms and distances in Å follow each position.
Sites, in units of the cell vectors:
Ir (0.2500, 0.2500, 0.1378)  6 W 2.65-2.90, 4 Ir 2.82
Ir (0.7500, 0.7500, 0.8622)  6 W 2.65-2.90, 4 Ir 2.82
W (0.2500, 0.2500, 0.6442)  6 Ir 2.65-2.90, 4 W 2.86
W (0.7500, 0.7500, 0.3558)  6 Ir 2.65-2.90, 4 W 2.86

A geometry-optimized La2ScTc structure, computed with GGA-PBE.

Summary:
The value obtained for the total magnetization is 0.000 μB per atom. The space group is No. 71. The energy of formation from the pure elements comes out at 125 meV per atom. The value obtained for the energy above the most stable polymorph in this dataset is 0.095 eV per atom.

a = 6.0879 Å, b = 6.0879 Å, c = 6.0879 Å
α = 143.59°, β = 127.16°, γ = 65.87°
Closest atoms and distances in Å follow each position.
Sites, in units of the cell vectors:
La (0.1971, 0.1971, 0.0000)  2 Tc 2.77
La (0.8029, 0.8029, 0.0000)  2 Tc 2.77
Sc (0.5000, 0.0000, 0.5000)  4 Tc 3.31, 8 La 3.38-3.63
Tc (0.0000, 0.5000, 0.5000)  4 La 2.77